[1]
Ta2CoRu | GGA-PBEsol | relaxed

Unit cell a=2.931 b=2.931 c=8.388 alpha=79.94 beta=79.94 gamma=60.00
Sites, in units of the cell vectors:
Ru: 0.248 0.248 0.257
Ta: 0.996 0.996 0.012
Ta: 0.758 0.758 0.727
Co: 0.498 0.498 0.505

SG = R3m (160)
volume = 15.28 Å³ per atom
total DFT energy (no corrections) = -10.520 eV per atom
formation enthalpy at 0 K = 0.233 eV/atom
magnetization = 0.38 Bohr magnetons per cell

[2]
Tc2HgBr | GGA-PBEsol | relaxed

Unit cell a=2.925 b=5.075 c=5.408 alpha=117.98 beta=105.69 gamma=90.00
Sites, in units of the cell vectors:
Tc: 0.773 0.773 0.545
Tc: 0.227 0.227 0.455
Hg: 0.000 0.500 0.000
Br: 0.500 0.000 0.000

SG = Immm (71)
volume = 16.87 Å³ per atom
formation energy from raw total energies = 949 meV/atom
energy above the lowest structure with this stoichiometry = 231 meV/atom
total DFT energy (no corrections) = -5.293 eV per atom
magnetization = 0.00 Bohr magnetons per cell

[3]
Y2ZnSi | GGA-PBEsol | relaxed

Unit cell a=3.995 b=3.995 c=7.206 alpha=73.91 beta=73.91 gamma=60.00
Sites, in units of the cell vectors:
Zn: 0.550 0.550 0.349
Y: 0.777 0.777 0.669
Y: 0.972 0.972 0.085
Si: 0.201 0.201 0.397

SG = R3m (160)
volume = 23.59 Å³ per atom
formation energy from raw total energies = -422 meV/atom
total DFT energy (no corrections) = -5.665 eV per atom
magnetization = 0.00 Bohr magnetons per cell

[4]
TaCuH2 | GGA-PBEsol | relaxed

Unit cell a=3.626 b=3.626 c=3.626 alpha=60.00 beta=60.00 gamma=60.00
Sites, in units of the cell vectors:
Ta: 0.500 0.500 0.500
Cu: 0.000 0.000 0.000
H: 0.250 0.250 0.250
H: 0.750 0.750 0.750

SG = Fm-3m (225)
volume = 8.43 Å³ per atom
total DFT energy (no corrections) = -5.581 eV per atom
magnetization = 0.00 Bohr magnetons per cell

[5]
Te2Rh2Cl | GGA-PBEsol | relaxed

Unit cell a=3.910 b=3.910 c=7.730 alpha=104.65 beta=104.65 gamma=90.00
Sites, in units of the cell vectors:
Te: 0.365 0.365 0.731
Te: 0.635 0.635 0.269
Cl: 0.000 0.000 0.000
Rh: 0.250 0.750 0.500
Rh: 0.750 0.250 0.500

SG = I4/mmm (139)
volume = 22.07 Å³ per atom
formation energy from raw total energies = -426 meV/atom
total DFT energy (no corrections) = -5.493 eV per atom
magnetization = 0.00 Bohr magnetons per cell

[6]
Eu3TaO7 | GGA-PBEsol | relaxed

Unit cell a=6.492 b=6.492 c=7.613 alpha=90.00 beta=90.00 gamma=110.36
Sites, in units of the cell vectors:
O: 0.927 0.679 0.970
O: 0.073 0.321 0.470
O: 0.927 0.679 0.530
O: 0.679 0.927 0.470
O: 0.636 0.364 0.750
O: 0.321 0.073 0.530
O: 0.058 0.942 0.250
O: 0.942 0.058 0.750
O: 0.321 0.073 0.970
O: 0.364 0.636 0.250
O: 0.073 0.321 0.030
O: 0.371 0.629 0.750
O: 0.629 0.371 0.250
O: 0.679 0.927 0.030
Eu: 0.998 0.532 0.250
Eu: 0.002 0.468 0.750
Eu: 0.468 0.002 0.250
Eu: 0.500 0.500 0.500
Eu: 0.500 0.500 0.000
Eu: 0.532 0.998 0.750
Ta: 0.000 0.000 0.000
Ta: 0.000 0.000 0.500

SG = Cmcm (63)
volume = 13.67 Å³ per atom
formation energy from raw total energies = -2975 meV/atom
total DFT energy (no corrections) = -10.337 eV per atom
magnetization = 36.00 Bohr magnetons per cell

[7]
CdTeO3 | GGA-PBEsol | relaxed

Unit cell a=7.353 b=7.829 c=11.157 alpha=90.00 beta=90.00 gamma=113.48
Sites, in units of the cell vectors:
Cd: 0.810 0.269 0.510
Cd: 0.468 0.001 0.731
Cd: 0.532 0.999 0.269
Cd: 0.690 0.731 0.010
Cd: 0.032 0.999 0.231
Cd: 0.310 0.269 0.990
Cd: 0.968 0.001 0.769
Cd: 0.190 0.731 0.490
O: 0.067 0.491 0.367
O: 0.609 0.949 0.910
O: 0.333 0.696 0.665
O: 0.667 0.304 0.335
O: 0.265 0.005 0.371
O: 0.994 0.204 0.919
O: 0.494 0.204 0.581
O: 0.109 0.949 0.590
O: 0.846 0.705 0.326
O: 0.765 0.005 0.129
O: 0.433 0.509 0.867
O: 0.891 0.051 0.410
O: 0.391 0.051 0.090
O: 0.654 0.295 0.826
O: 0.735 0.995 0.629
O: 0.006 0.796 0.081
O: 0.567 0.491 0.133
O: 0.235 0.995 0.871
O: 0.933 0.509 0.633
O: 0.833 0.696 0.835
O: 0.506 0.796 0.419
O: 0.346 0.705 0.174
O: 0.154 0.295 0.674
O: 0.167 0.304 0.165
Te: 0.754 0.170 0.001
Te: 0.246 0.830 0.999
Te: 0.871 0.498 0.251
Te: 0.629 0.502 0.751
Te: 0.129 0.502 0.749
Te: 0.746 0.830 0.501
Te: 0.254 0.170 0.499
Te: 0.371 0.498 0.249

SG = P2_1/c (14)
volume = 14.73 Å³ per atom
formation energy from raw total energies = -1111 meV/atom
total DFT energy (no corrections) = -5.205 eV per atom
magnetization = 0.00 Bohr magnetons per cell

[8]
TlMo3I | GGA-PBEsol | relaxed

Unit cell a=4.831 b=4.831 c=4.831 alpha=90.00 beta=90.00 gamma=90.00
Sites, in units of the cell vectors:
Mo: 0.000 0.500 0.000
Mo: 0.500 0.000 0.000
Mo: 0.000 0.000 0.500
I: 0.000 0.000 0.000
Tl: 0.500 0.500 0.500

SG = Pm-3m (221)
volume = 22.54 Å³ per atom
formation energy from raw total energies = 2032 meV/atom
total DFT energy (no corrections) = -5.908 eV per atom
magnetization = 0.00 Bohr magnetons per cell